The following is a DFT calculation (PBE-GGA) of PrTmNiPd after structural relaxation.

a = 7.0129 Å, b = 7.0129 Å, c = 7.0129 Å
α = 90.00°, β = 90.00°, γ = 90.00°
With the nearest neighbours (Å) after each atom.
Fractional coordinates of all 16 atoms:
Pr1 0.0000 0.0000 0.0000  4 Ni 3.04, 4 Pd 3.04
Pr2 0.0000 0.5000 0.5000  4 Ni 3.04, 4 Pd 3.04
Pr3 0.5000 0.0000 0.5000  4 Ni 3.04, 4 Pd 3.04
Pr4 0.5000 0.5000 0.0000  4 Ni 3.04, 4 Pd 3.04
Tm1 0.0000 0.0000 0.5000  4 Pd 3.04, 4 Ni 3.04
Tm2 0.0000 0.5000 0.0000  4 Pd 3.04, 4 Ni 3.04
Tm3 0.5000 0.0000 0.0000  4 Pd 3.04, 4 Ni 3.04
Tm4 0.5000 0.5000 0.5000  4 Pd 3.04, 4 Ni 3.04
Ni1 0.2500 0.2500 0.7500  4 Tm 3.04, 4 Pr 3.04
Ni2 0.2500 0.7500 0.2500  4 Tm 3.04, 4 Pr 3.04
Ni3 0.7500 0.2500 0.2500  4 Tm 3.04, 4 Pr 3.04
Ni4 0.7500 0.7500 0.7500  4 Tm 3.04, 4 Pr 3.04
Pd1 0.2500 0.2500 0.2500  4 Pr 3.04, 4 Tm 3.04
Pd2 0.2500 0.7500 0.7500  4 Pr 3.04, 4 Tm 3.04
Pd3 0.7500 0.2500 0.7500  4 Pr 3.04, 4 Tm 3.04
Pd4 0.7500 0.7500 0.2500  4 Pr 3.04, 4 Tm 3.04

Magnetization: 0.000 μB per cell
Calculated formation energy: -51.6 kJ per mole of atoms
Density of states at the Fermi level: 3.80 states/eV/f.u.


The following is a DFT calculation (PBE-GGA) of PrZn3NiPd after structural relaxation.

a = 6.7063 Å, b = 6.7063 Å, c = 5.4861 Å
α = 90.00°, β = 90.00°, γ = 109.60°
With the nearest neighbours (Å) after each atom.
Fractional coordinates of all 12 atoms:
Pr1 0.2081 0.7919 0.7500  1 Ni 2.71, 2 Pd 3.02
Pr2 0.7919 0.2081 0.2500  1 Ni 2.71, 2 Pd 3.02
Zn1 0.2510 0.2510 0.0000  2 Ni 2.41, 2 Pd 2.58
Zn2 0.2510 0.2510 0.5000  2 Ni 2.41, 2 Pd 2.58
Zn3 0.3291 0.6709 0.2500  1 Ni 2.36, 1 Pd 2.60
Zn4 0.6709 0.3291 0.7500  1 Ni 2.36, 1 Pd 2.60
Zn5 0.7490 0.7490 0.0000  2 Ni 2.41, 2 Pd 2.58
Zn6 0.7490 0.7490 0.5000  2 Ni 2.41, 2 Pd 2.58
Ni1 0.4556 0.5444 0.7500  5 Zn 2.36-2.41
Ni2 0.5444 0.4556 0.2500  5 Zn 2.36-2.41
Pd1 0.0920 0.9080 0.2500  5 Zn 2.58-2.60
Pd2 0.9080 0.0920 0.7500  5 Zn 2.58-2.60

Magnetization: 0.000 μB per cell
Calculated formation energy: -27.3 kJ per mole of atoms
Density of states at the Fermi level: 3.21 states/eV/f.u.


The following is a DFT calculation (PBE-GGA) of PrZn5Ni2Pd after structural relaxation.

a = 4.6632 Å, b = 4.6632 Å, c = 7.0307 Å
α = 90.00°, β = 90.00°, γ = 90.00°
With the nearest neighbours (Å) after each atom.
Fractional coordinates of all 9 atoms:
Pr1 0.0000 0.0000 0.0000  12 Zn 3.18-3.30, 2 Pd 3.52
Zn1 0.0000 0.5000 0.3072  2 Ni 2.34
Zn2 0.0000 0.5000 0.6928  2 Ni 2.34
Zn3 0.5000 0.0000 0.3072  2 Ni 2.34
Zn4 0.5000 0.0000 0.6928  2 Ni 2.34
Zn5 0.5000 0.5000 0.0000  2 Ni 2.34
Ni1 0.5000 0.5000 0.3329  5 Zn 2.34, 1 Ni 2.35
Ni2 0.5000 0.5000 0.6671  5 Zn 2.34, 1 Ni 2.35
Pd1 0.0000 0.0000 0.5000  8 Zn 2.70

Magnetization: 0.000 μB per cell
Calculated formation energy: -18.4 kJ per mole of atoms
Density of states at the Fermi level: 5.22 states/eV/f.u.


The following is a DFT calculation (PBE-GGA) of Pr2Zn2NiPd5 after structural relaxation.

a = 9.7076 Å, b = 9.7076 Å, c = 3.8458 Å
α = 90.00°, β = 90.00°, γ = 90.00°
With the nearest neighbours (Å) after each atom.
Fractional coordinates of all 20 atoms:
Pr1 0.1811 0.3189 0.0000  3 Zn 2.76-2.96
Pr2 0.3189 0.8189 0.0000  3 Zn 2.76-2.96
Pr3 0.6811 0.1811 0.0000  3 Zn 2.76-2.96
Pr4 0.8189 0.6811 0.0000  3 Zn 2.76-2.96
Zn1 0.1176 0.6176 0.0000  6 Pd 2.51-2.67, 1 Pr 2.76
Zn2 0.3824 0.1176 0.0000  6 Pd 2.51-2.67, 1 Pr 2.76
Zn3 0.6176 0.8824 0.0000  6 Pd 2.51-2.67, 1 Pr 2.76
Zn4 0.8824 0.3824 0.0000  6 Pd 2.51-2.67, 1 Pr 2.76
Ni1 0.0000 0.0000 0.0000  8 Pd 2.80
Ni2 0.5000 0.5000 0.0000  8 Pd 2.80
Pd1 0.0000 0.5000 0.5000  4 Zn 2.51
Pd2 0.0608 0.7995 0.5000  2 Zn 2.67, 2 Ni 2.80, 3 Pd 2.88-2.97
Pd3 0.2005 0.0608 0.5000  2 Zn 2.67, 2 Ni 2.80, 3 Pd 2.88-2.97
Pd4 0.2995 0.5608 0.5000  2 Zn 2.67, 2 Ni 2.80, 3 Pd 2.88-2.97
Pd5 0.4392 0.2995 0.5000  2 Zn 2.67, 2 Ni 2.80, 3 Pd 2.88-2.97
Pd6 0.5000 0.0000 0.5000  4 Zn 2.51
Pd7 0.5608 0.7005 0.5000  2 Zn 2.67, 2 Ni 2.80, 3 Pd 2.88-2.97
Pd8 0.7005 0.4392 0.5000  2 Zn 2.67, 2 Ni 2.80, 3 Pd 2.88-2.97
Pd9 0.7995 0.9392 0.5000  2 Zn 2.67, 2 Ni 2.80, 3 Pd 2.88-2.97
Pd10 0.9392 0.2005 0.5000  2 Zn 2.67, 2 Ni 2.80, 3 Pd 2.88-2.97

Magnetization: 0.000 μB per cell
Calculated formation energy: -47.9 kJ per mole of atoms
Density of states at the Fermi level: 3.24 states/eV/f.u.


The following is a DFT calculation (PBE-GGA) of Pr2Zn12Ni3Pd after structural relaxation.

a = 7.8740 Å, b = 7.8740 Å, c = 7.8740 Å
α = 64.17°, β = 64.17°, γ = 64.17°
With the nearest neighbours (Å) after each atom.
Fractional coordinates of all 18 atoms:
Pr1 0.1073 0.1073 0.1073  9 Zn 3.10-3.41
Pr2 0.8927 0.8927 0.8927  9 Zn 3.10-3.41
Zn1 0.1285 0.6220 0.6220  1 Ni 2.32, 1 Pd 2.51
Zn2 0.1710 0.1710 0.6293  2 Ni 2.33
Zn3 0.1710 0.6293 0.1710  2 Ni 2.33
Zn4 0.3707 0.8290 0.8290  2 Ni 2.33
Zn5 0.3780 0.3780 0.8715  1 Ni 2.32, 1 Pd 2.51
Zn6 0.3780 0.8715 0.3780  1 Ni 2.32, 1 Pd 2.51
Zn7 0.6220 0.1285 0.6220  1 Ni 2.32, 1 Pd 2.51
Zn8 0.6220 0.6220 0.1285  1 Ni 2.32, 1 Pd 2.51
Zn9 0.6293 0.1710 0.1710  2 Ni 2.33
Zn10 0.8290 0.3707 0.8290  2 Ni 2.33
Zn11 0.8290 0.8290 0.3707  2 Ni 2.33
Zn12 0.8715 0.3780 0.3780  1 Ni 2.32, 1 Pd 2.51
Ni1 0.0000 0.5000 0.5000  6 Zn 2.32-2.33
Ni2 0.5000 0.0000 0.5000  6 Zn 2.32-2.33
Ni3 0.5000 0.5000 0.0000  6 Zn 2.32-2.33
Pd1 0.5000 0.5000 0.5000  6 Zn 2.51

Magnetization: 0.000 μB per cell
Calculated formation energy: 15.3 kJ per mole of atoms
Density of states at the Fermi level: 8.20 states/eV/f.u.


The following is a DFT calculation (PBE-GGA) of Pr2Zn3Ni12Pd after structural relaxation.

a = 9.5319 Å, b = 9.5319 Å, c = 9.5319 Å
α = 36.92°, β = 36.92°, γ = 36.92°
With the nearest neighbours (Å) after each atom.
Fractional coordinates of all 18 atoms:
Pr1 0.1402 0.1402 0.1402  6 Ni 2.87-2.90
Pr2 0.8598 0.8598 0.8598  6 Ni 2.87-2.90
Zn1 0.0000 0.5000 0.5000  4 Ni 2.31
Zn2 0.5000 0.0000 0.5000  4 Ni 2.31
Zn3 0.5000 0.5000 0.0000  4 Ni 2.31
Ni1 0.0503 0.6243 0.6243  4 Ni 2.40-2.57, 1 Zn 2.66, 1 Pd 2.68
Ni2 0.0834 0.0834 0.6985  2 Zn 2.31, 4 Ni 2.32-2.40
Ni3 0.0834 0.6985 0.0834  2 Zn 2.31, 4 Ni 2.32-2.40
Ni4 0.3015 0.9166 0.9166  2 Zn 2.31, 4 Ni 2.32-2.40
Ni5 0.3757 0.3757 0.9497  4 Ni 2.40-2.57, 1 Zn 2.66, 1 Pd 2.68
Ni6 0.3757 0.9497 0.3757  4 Ni 2.40-2.57, 1 Zn 2.66, 1 Pd 2.68
Ni7 0.6243 0.0503 0.6243  4 Ni 2.40-2.57, 1 Zn 2.66, 1 Pd 2.68
Ni8 0.6243 0.6243 0.0503  4 Ni 2.40-2.57, 1 Zn 2.66, 1 Pd 2.68
Ni9 0.6985 0.0834 0.0834  2 Zn 2.31, 4 Ni 2.32-2.40
Ni10 0.9166 0.3015 0.9166  2 Zn 2.31, 4 Ni 2.32-2.40
Ni11 0.9166 0.9166 0.3015  2 Zn 2.31, 4 Ni 2.32-2.40
Ni12 0.9497 0.3757 0.3757  4 Ni 2.40-2.57, 1 Zn 2.66, 1 Pd 2.68
Pd1 0.5000 0.5000 0.5000  6 Ni 2.68

Magnetization: 0.000 μB per cell
Calculated formation energy: 12.5 kJ per mole of atoms
Density of states at the Fermi level: 20.87 states/eV/f.u.


The following is a DFT calculation (PBE-GGA) of Pr2Zn5Ni2Pd after structural relaxation.

a = 9.3689 Å, b = 9.3689 Å, c = 4.0898 Å
α = 90.00°, β = 90.00°, γ = 90.00°
With the nearest neighbours (Å) after each atom.
Fractional coordinates of all 20 atoms:
Pr1 0.1863 0.3137 0.0000  3 Ni 2.74-2.85
Pr2 0.3137 0.8137 0.0000  3 Ni 2.74-2.85
Pr3 0.6863 0.1863 0.0000  3 Ni 2.74-2.85
Pr4 0.8137 0.6863 0.0000  3 Ni 2.74-2.85
Zn1 0.0000 0.5000 0.5000  4 Ni 2.49
Zn2 0.0511 0.7993 0.5000  3 Zn 2.74-2.84, 2 Ni 2.78, 2 Pd 2.82
Zn3 0.2007 0.0511 0.5000  3 Zn 2.74-2.84, 2 Ni 2.78, 2 Pd 2.82
Zn4 0.2993 0.5511 0.5000  3 Zn 2.74-2.84, 2 Ni 2.78, 2 Pd 2.82
Zn5 0.4489 0.2993 0.5000  3 Zn 2.74-2.84, 2 Ni 2.78, 2 Pd 2.82
Zn6 0.5000 0.0000 0.5000  4 Ni 2.49
Zn7 0.5511 0.7007 0.5000  3 Zn 2.74-2.84, 2 Ni 2.78, 2 Pd 2.82
Zn8 0.7007 0.4489 0.5000  3 Zn 2.74-2.84, 2 Ni 2.78, 2 Pd 2.82
Zn9 0.7993 0.9489 0.5000  3 Zn 2.74-2.84, 2 Ni 2.78, 2 Pd 2.82
Zn10 0.9489 0.2007 0.5000  3 Zn 2.74-2.84, 2 Ni 2.78, 2 Pd 2.82
Ni1 0.1069 0.6069 0.0000  6 Zn 2.49-2.78, 1 Pr 2.74
Ni2 0.3931 0.1069 0.0000  6 Zn 2.49-2.78, 1 Pr 2.74
Ni3 0.6069 0.8931 0.0000  6 Zn 2.49-2.78, 1 Pr 2.74
Ni4 0.8931 0.3931 0.0000  6 Zn 2.49-2.78, 1 Pr 2.74
Pd1 0.0000 0.0000 0.0000  8 Zn 2.82
Pd2 0.5000 0.5000 0.0000  8 Zn 2.82

Magnetization: 0.000 μB per cell
Calculated formation energy: -29.5 kJ per mole of atoms
Density of states at the Fermi level: 5.25 states/eV/f.u.


The following is a DFT calculation (PBE-GGA) of NiPd3Pt3 after structural relaxation.

a = 5.0361 Å, b = 5.0361 Å, c = 5.0361 Å
α = 104.76°, β = 104.76°, γ = 104.76°
With the nearest neighbours (Å) after each atom.
Fractional coordinates of all 7 atoms:
Ni1 0.0000 0.0000 0.0000  6 Pt 2.51-2.64, 3 Pd 2.61
Pd1 0.0950 0.4510 0.4510  1 Ni 2.61, 5 Pt 2.63-2.69, 2 Pd 2.84
Pd2 0.4510 0.0950 0.4510  1 Ni 2.61, 5 Pt 2.63-2.69, 2 Pd 2.84
Pd3 0.4510 0.4510 0.0950  1 Ni 2.61, 5 Pt 2.63-2.69, 2 Pd 2.84
Pt1 0.4643 0.9052 0.9052  2 Ni 2.51-2.64, 5 Pd 2.63-2.69
Pt2 0.9052 0.4643 0.9052  2 Ni 2.51-2.64, 5 Pd 2.63-2.69
Pt3 0.9052 0.9052 0.4643  2 Ni 2.51-2.64, 5 Pd 2.63-2.69

Polymorph energy (0 for the lowest one): 0.107 eV/atom
Magnetization: 2.219 μB per cell
Calculated formation energy: 21.3 kJ per mole of atoms
Density of states at the Fermi level: 12.93 states/eV/f.u.


The following is a DFT calculation (PBE-GGA) of NiPd3Pt2 after structural relaxation.

a = 5.3195 Å, b = 5.3195 Å, c = 6.6762 Å
α = 98.44°, β = 98.44°, γ = 98.39°
With the nearest neighbours (Å) after each atom.
Fractional coordinates of all 12 atoms:
Ni1 0.1247 0.8753 0.7500  5 Pd 2.47-2.58, 4 Pt 2.69-2.70
Ni2 0.8753 0.1247 0.2500  5 Pd 2.47-2.58, 4 Pt 2.69-2.70
Pd1 0.1312 0.2905 0.9826  2 Ni 2.50-2.58, 2 Pd 2.65-2.80, 2 Pt 2.73-2.75
Pd2 0.2905 0.1312 0.4826  2 Ni 2.50-2.58, 2 Pd 2.65-2.80, 2 Pt 2.73-2.75
Pd3 0.4311 0.5689 0.7500  1 Ni 2.47, 2 Pd 2.65
Pd4 0.5689 0.4311 0.2500  1 Ni 2.47, 2 Pd 2.65
Pd5 0.7095 0.8688 0.5174  2 Ni 2.50-2.58, 2 Pd 2.65-2.80, 2 Pt 2.73-2.75
Pd6 0.8688 0.7095 0.0174  2 Ni 2.50-2.58, 2 Pd 2.65-2.80, 2 Pt 2.73-2.75
Pt1 0.1339 0.6103 0.3747  2 Pt 2.64-2.70, 2 Ni 2.69-2.70, 6 Pd 2.73-2.95
Pt2 0.3897 0.8661 0.1253  2 Pt 2.64-2.70, 2 Ni 2.69-2.70, 6 Pd 2.73-2.95
Pt3 0.6103 0.1339 0.8747  2 Pt 2.64-2.70, 2 Ni 2.69-2.70, 6 Pd 2.73-2.95
Pt4 0.8661 0.3897 0.6253  2 Pt 2.64-2.70, 2 Ni 2.69-2.70, 6 Pd 2.73-2.95

Magnetization: 4.882 μB per cell
Calculated formation energy: 8.0 kJ per mole of atoms
Density of states at the Fermi level: 10.00 states/eV/f.u.


The following is a DFT calculation (PBE-GGA) of Ni2Pd8Pt after structural relaxation.

a = 6.8380 Å, b = 6.8380 Å, c = 4.5175 Å
α = 100.80°, β = 100.80°, γ = 62.77°
With the nearest neighbours (Å) after each atom.
Fractional coordinates of all 11 atoms:
Ni1 0.1135 0.1135 0.0450  2 Pt 2.53-2.68, 5 Pd 2.54-2.71, 1 Ni 2.59
Ni2 0.8865 0.8865 0.9550  2 Pt 2.53-2.68, 5 Pd 2.54-2.71, 1 Ni 2.59
Pd1 0.2244 0.2244 0.6020  1 Pt 2.56, 2 Ni 2.56-2.61, 4 Pd 2.68-2.70
Pd2 0.2384 0.6199 0.7209  1 Ni 2.54, 1 Pt 2.63, 5 Pd 2.70-2.79
Pd3 0.3512 0.3512 0.1752  8 Pd 2.68-2.85, 1 Ni 2.71
Pd4 0.3801 0.7616 0.2791  1 Ni 2.54, 1 Pt 2.63, 5 Pd 2.70-2.79
Pd5 0.6199 0.2384 0.7209  1 Ni 2.54, 1 Pt 2.63, 5 Pd 2.70-2.79
Pd6 0.6488 0.6488 0.8248  8 Pd 2.68-2.85, 1 Ni 2.71
Pd7 0.7616 0.3801 0.2791  1 Ni 2.54, 1 Pt 2.63, 5 Pd 2.70-2.79
Pd8 0.7756 0.7756 0.3980  1 Pt 2.56, 2 Ni 2.56-2.61, 4 Pd 2.68-2.70
Pt1 0.0000 0.0000 0.5000  4 Ni 2.53-2.68, 6 Pd 2.56-2.63

Polymorph energy (0 for the lowest one): 0.186 eV/atom
Magnetization: 3.642 μB per cell
Calculated formation energy: 30.5 kJ per mole of atoms
Density of states at the Fermi level: 21.45 states/eV/f.u.